## SmTlO2 (PBEsol)

Data for a geometry-optimized SmTlO2 structure.

Output
The value obtained for the formation energy without anion corrections is -2.28 eV/atom. Its space group is R-3m (166). Its total energy is -27.340 eV per formula unit.

Lattice parameters (Å, degrees): 3.559 3.559 19.067 90.00 90.00 120.00
Element x y z (fractional)
Sm1 0.000 0.000 0.000
Sm2 0.333 0.667 0.667
Sm3 0.667 0.333 0.333
Tl1 0.000 0.000 0.500
Tl2 0.333 0.667 0.167
Tl3 0.667 0.333 0.833
O1 0.000 0.000 0.274
O2 0.000 0.000 0.726
O3 0.333 0.667 0.393
O4 0.333 0.667 0.941
O5 0.667 0.333 0.059
O6 0.667 0.333 0.607



## Ce4H11 (PBEsol)

Data for a geometry-optimized Ce4H11 structure.

Output
Its space group is I4/mmm (139). Its total energy is -70.165 eV per formula unit.

Lattice parameters (Å, degrees): 6.501 6.501 6.501 131.35 131.35 71.25
Element x y z (fractional)
Ce1 0.000 0.500 0.500
Ce2 0.240 0.240 0.000
Ce3 0.500 0.000 0.500
Ce4 0.760 0.760 0.000
H1 0.000 0.000 0.000
H2 0.142 0.142 0.528
H3 0.142 0.614 0.000
H4 0.250 0.750 0.500
H5 0.386 0.386 0.528
H6 0.386 0.858 0.000
H7 0.614 0.142 0.000
H8 0.614 0.614 0.472
H9 0.750 0.250 0.500
H10 0.858 0.386 0.000
H11 0.858 0.858 0.472



## TeMo2W (PBEsol)

Data for a geometry-optimized TeMo2W structure.

Output
The value obtained for the formation energy without anion corrections is 0.39 eV/atom. Its space group is P4mm (99). Its total energy is -39.315 eV per formula unit.

Lattice parameters (Å, degrees): 3.172 3.172 6.675 90.00 90.00 90.00
Element x y z (fractional)
Te1 0.000 0.000 0.000
Mo1 0.000 0.000 0.504
Mo2 0.500 0.500 0.730
W1 0.500 0.500 0.270



## MgIrRh2 (PBEsol)

Data for a geometry-optimized MgIrRh2 structure.

Output
Its formation energy is -0.64 eV/f.u. Its space group is I-4m2 (119). Its total energy is -28.455 eV per formula unit.

Lattice parameters (Å, degrees): 3.825 3.825 7.692 90.00 90.00 90.00
Element x y z (fractional)
Mg1 0.000 0.000 0.000
Mg2 0.500 0.500 0.500
Ir1 0.000 0.500 0.750
Ir2 0.500 0.000 0.250
Rh1 0.000 0.000 0.500
Rh2 0.000 0.500 0.250
Rh3 0.500 0.000 0.750
Rh4 0.500 0.500 0.000



## Zn2CrPt (PBEsol)

Data for a geometry-optimized Zn2CrPt structure.

Output
Its formation energy is 0.12 eV/f.u. Its space group is R-3m (166). Its total energy is -20.253 eV per formula unit.

Lattice parameters (Å, degrees): 2.699 2.699 25.569 90.00 90.00 120.00
Element x y z (fractional)
Zn1 0.000 0.000 0.248
Zn2 0.000 0.000 0.752
Zn3 0.333 0.667 0.419
Zn4 0.333 0.667 0.914
Zn5 0.667 0.333 0.086
Zn6 0.667 0.333 0.581
Cr1 0.000 0.000 0.500
Cr2 0.333 0.667 0.167
Cr3 0.667 0.333 0.833
Pt1 0.000 0.000 0.000
Pt2 0.333 0.667 0.667
Pt3 0.667 0.333 0.333



## MgIr2Rh (PBEsol)

Data for a geometry-optimized MgIr2Rh structure.

Output
Its formation energy is 0.08 eV/f.u. Its space group is Imm2 (44). Its total energy is -29.418 eV per formula unit.

Lattice parameters (Å, degrees): 2.769 4.532 9.410 90.00 90.00 90.00
Element x y z (fractional)
Mg1 0.000 0.000 0.000
Mg2 0.500 0.500 0.500
Ir1 0.000 0.000 0.502
Ir2 0.000 0.500 0.233
Ir3 0.500 0.000 0.733
Ir4 0.500 0.500 0.002
Rh1 0.000 0.500 0.766
Rh2 0.500 0.000 0.266



## Al2AuCl (PBEsol)

Data for a geometry-optimized Al2AuCl structure.

Output
The value obtained for the formation energy without anion corrections is -0.04 eV/atom. The value obtained for the energy above the lowest structure with this stoichiometry is 169 meV/atom. Its space group is I4/mmm (139). Its total energy is -14.294 eV per formula unit.

Lattice parameters (Å, degrees): 4.678 4.678 6.757 90.00 90.00 90.00
Element x y z (fractional)
Al1 0.000 0.500 0.250
Al2 0.000 0.500 0.750
Al3 0.500 0.000 0.250
Al4 0.500 0.000 0.750
Au1 0.000 0.000 0.000
Au2 0.500 0.500 0.500
Cl1 0.000 0.000 0.500
Cl2 0.500 0.500 0.000



## GaAgSeS (PBEsol)

Data for a geometry-optimized GaAgSeS structure.

Output
The value obtained for the formation energy without anion corrections is -0.46 eV/atom. Its space group is Cc (9). Its total energy is -16.736 eV per formula unit.

Lattice parameters (Å, degrees): 8.164 8.182 6.702 90.00 126.73 90.00
Element x y z (fractional)
Ga1 0.000 0.121 0.000
Ga2 0.000 0.879 0.500
Ga3 0.500 0.379 0.500
Ga4 0.500 0.621 0.000
Ag1 0.016 0.354 0.503
Ag2 0.016 0.646 0.003
Ag3 0.516 0.146 0.003
Ag4 0.516 0.854 0.503
Se1 0.369 0.132 0.256
Se2 0.369 0.868 0.756
Se3 0.869 0.368 0.756
Se4 0.869 0.632 0.256
S1 0.391 0.396 0.746
S2 0.391 0.604 0.246
S3 0.891 0.104 0.246
S4 0.891 0.896 0.746



## MgZrSe (PBEsol)

Data for a geometry-optimized MgZrSe structure.

Output
The value obtained for the formation energy without anion corrections is -0.39 eV/atom. The value obtained for the energy above the lowest structure with this stoichiometry is 280 meV/atom. Its space group is P-6m2 (187). Its total energy is -15.834 eV per formula unit.

Lattice parameters (Å, degrees): 4.529 4.529 3.701 90.00 90.00 120.00
Element x y z (fractional)
Mg1 0.000 0.000 0.000
Zr1 0.667 0.333 0.500
Se1 0.333 0.667 0.500



## Zn2CrTe (PBEsol)

Data for a geometry-optimized Zn2CrTe structure.

Output
The value obtained for the formation energy without anion corrections is 0.21 eV/atom. Its space group is Cm (8). Its total energy is -16.087 eV per formula unit.

Lattice parameters (Å, degrees): 7.944 3.545 5.844 90.00 95.20 90.00
Element x y z (fractional)
Zn1 0.000 0.000 0.000
Zn2 0.198 0.500 0.874
Zn3 0.500 0.500 0.000
Zn4 0.698 0.000 0.874
Cr1 0.307 0.000 0.196
Cr2 0.807 0.500 0.196
Te1 0.127 0.500 0.423
Te2 0.627 0.000 0.423



## Co2MoPdF (PBEsol)

Data for a geometry-optimized Co2MoPdF structure.

Output
The value obtained for the formation energy without anion corrections is 1.61 eV/atom. Its space group is P4/mmm (123). Its total energy is -27.077 eV per formula unit.

Lattice parameters (Å, degrees): 4.522 4.522 4.781 90.00 90.00 90.00
Element x y z (fractional)
Co1 0.000 0.500 0.000
Co2 0.500 0.000 0.000
Mo1 0.000 0.000 0.500
Pd1 0.000 0.000 0.000
F1 0.500 0.500 0.500



## Rb2BaFe (PBEsol)

Data for a geometry-optimized Rb2BaFe structure.

Output
Its formation energy is 4.15 eV/f.u. Its space group is Fm-3m (225). Its total energy is -9.012 eV per formula unit.

Lattice parameters (Å, degrees): 8.917 8.917 8.917 90.00 90.00 90.00
Element x y z (fractional)
Rb1 0.250 0.250 0.250
Rb2 0.250 0.250 0.750
Rb3 0.250 0.750 0.250
Rb4 0.250 0.750 0.750
Rb5 0.750 0.250 0.250
Rb6 0.750 0.250 0.750
Rb7 0.750 0.750 0.250
Rb8 0.750 0.750 0.750
Ba1 0.000 0.000 0.000
Ba2 0.000 0.500 0.500
Ba3 0.500 0.000 0.500
Ba4 0.500 0.500 0.000
Fe1 0.000 0.000 0.500
Fe2 0.000 0.500 0.000
Fe3 0.500 0.000 0.000
Fe4 0.500 0.500 0.500